Record 1
Entry from OQMD via LeMat-Bulk: crystalline SnHgTeO at its relaxed geometry (PBE).

Geometry as POSCAR:
```
SnHgTeO
1.0
7.862 0.000 0.000
0.000 8.397 0.000
0.000 0.000 6.378
Sn Hg Te O
4 4 4 4
direct
0.136 0.147 0.000
0.364 0.147 0.500
0.636 0.853 0.000
0.864 0.853 0.500
0.127 0.818 0.005
0.373 0.818 0.505
0.627 0.182 0.005
0.873 0.182 0.505
0.091 0.623 0.646
0.409 0.623 0.146
0.591 0.377 0.646
0.909 0.377 0.146
0.167 0.218 0.693
0.333 0.218 0.193
0.667 0.782 0.693
0.833 0.782 0.193
```

- VASP energy: -3.607 eV/atom
- Space-group type: Pca2_1 (29)

Record 2
Entry from OQMD via LeMat-Bulk: crystalline SnHgTeO at its relaxed geometry (PBE).

Geometry as POSCAR:
```
SnHgTeO
1.0
6.467 0.000 0.000
0.000 10.128 0.000
0.000 0.000 6.452
Sn Hg Te O
4 4 4 4
direct
0.015 0.185 0.000
0.485 0.185 0.500
0.515 0.815 0.000
0.985 0.815 0.500
0.049 0.583 0.981
0.451 0.583 0.481
0.549 0.417 0.981
0.951 0.417 0.481
0.001 0.845 0.006
0.499 0.845 0.506
0.501 0.155 0.006
0.999 0.155 0.506
0.035 0.615 0.533
0.465 0.615 0.033
0.535 0.385 0.533
0.965 0.385 0.033
```

- VASP energy: -3.457 eV/atom
- Space-group type: Pca2_1 (29)

Record 3
Entry from OQMD via LeMat-Bulk: crystalline SnHgTeO at its relaxed geometry (PBE).

Geometry as POSCAR:
```
SnHgTeO
1.0
4.166 0.000 0.000
0.000 4.166 0.000
0.000 0.000 11.616
Sn Hg Te O
2 2 2 2
direct
0.250 0.250 0.109
0.750 0.750 0.891
0.250 0.250 0.724
0.750 0.750 0.276
0.250 0.750 0.500
0.750 0.250 0.500
0.250 0.250 0.937
0.750 0.750 0.063
```

- VASP energy: -3.312 eV/atom
- Space-group type: P4/nmm (129)